Entry 1:
First-principles (meta-GGA SCAN) data for HfScI2 at its PBEsol-relaxed geometry, as listed in the Alexandria database.

- Theoretical density: 7.48 g/cm³
- Magnetization: 0.00 μB/atom
- Uncorrected energy: -37.3395 eV/atom
- Formation energy from raw total energies: 0.26 eV per atom

a b c (Å): 7.767 7.767 7.024
angles (deg): 90.00 90.00 90.00
Space group I-42d (No. 122)
Asymmetric unit:
Hf (0.000, 0.000, 0.000) [4 per cell]
Sc (0.000, 0.000, 0.500) [4 per cell]
I (0.249, 0.750, 0.125) [8 per cell]

***

Entry 2:
First-principles (meta-GGA SCAN) data for HfSe3I at its PBEsol-relaxed geometry, as listed in the Alexandria database.

- Theoretical density: 6.70 g/cm³
- Magnetization: 0.00 μB/atom
- Uncorrected energy: -32.2560 eV/atom
- Formation energy from raw total energies: -0.33 eV per atom

a b c (Å): 5.123 5.123 5.123
angles (deg): 90.00 90.00 90.00
Space group Pm-3m (No. 221)
Asymmetric unit:
Hf (0.000, 0.000, 0.000) [1 per cell]
Se (0.000, 0.000, 0.500) [3 per cell]
I (0.500, 0.500, 0.500) [1 per cell]

***

Entry 3:
First-principles (meta-GGA SCAN) data for HfSiI2 at its PBEsol-relaxed geometry, as listed in the Alexandria database.

- Theoretical density: 8.57 g/cm³
- Magnetization: 0.00 μB/atom
- Uncorrected energy: -35.9811 eV/atom
- Formation energy from raw total energies: 0.56 eV per atom

a b c (Å): 7.093 7.093 7.093
angles (deg): 90.00 90.00 90.00
Space group Fm-3m (No. 225)
Asymmetric unit:
Hf (0.000, 0.000, 0.000) [4 per cell]
Si (0.000, 0.000, 0.500) [4 per cell]
I (0.250, 0.250, 0.250) [8 per cell]

***

Entry 4:
First-principles (meta-GGA SCAN) data for Hf2SiI at its PBEsol-relaxed geometry, as listed in the Alexandria database.

- Theoretical density: 7.62 g/cm³
- Magnetization: 0.00 μB/atom
- Uncorrected energy: -42.4879 eV/atom
- Formation energy from raw total energies: 0.54 eV per atom

a b c (Å): 5.534 5.534 14.574
angles (deg): 90.00 90.00 90.00
Space group I-42d (No. 122)
Asymmetric unit:
Hf (0.182, 0.250, 0.125) [8 per cell]
Si (0.000, 0.000, 0.000) [4 per cell]
I (0.000, 0.000, 0.500) [4 per cell]